Record 1
! SrLi2MgIn2 PBE relaxed; values from VASP
&SYSTEM
  ibrav = 0, nat = 6, ntyp = 4
/
ATOMIC_SPECIES
Sr 87.62 Sr.upf
Li 6.94 Li.upf
Mg 24.30 Mg.upf
In 114.82 In.upf
CELL_PARAMETERS angstrom
4.831 0.000 0.000
-2.415 4.184 0.000
0.000 0.000 7.560
ATOMIC_POSITIONS angstrom
Sr 0.000 0.000 0.000
Li 0.000 2.789 2.477
Li 2.415 1.395 5.084
Mg 0.000 0.000 3.780
In 0.000 2.789 5.353
In 2.415 1.395 2.207
! * calculated total energy: -2.36 eV/atom
! * formation enthalpy at 0 K: -265 meV per atom
! * symmetry: P-3m1

***

Record 2
! Rb3Sc2BiTe6 PBE relaxed; values from VASP
&SYSTEM
  ibrav = 0, nat = 12, ntyp = 4
/
ATOMIC_SPECIES
Rb 85.47 Rb.upf
Sc 44.96 Sc.upf
Bi 208.98 Bi.upf
Te 127.60 Te.upf
CELL_PARAMETERS angstrom
7.713 -0.002 -0.001
-3.856 6.680 -0.001
-1.287 -2.229 8.490
ATOMIC_POSITIONS angstrom
Rb -2.629 4.485 4.244
Rb 5.198 -0.035 4.244
Rb 1.285 2.225 4.244
Sc -0.008 4.457 -0.001
Sc 3.865 2.221 -0.001
Bi 0.000 0.000 0.000
Te 3.918 2.113 6.851
Te 2.507 4.340 1.622
Te -1.348 2.337 1.637
Te -0.128 4.449 6.851
Te 0.063 0.109 6.867
Te 2.698 0.000 1.637
! * E_form (uncorrected): -1.03 eV/atom
! * calculated total energy: -4.22 eV/atom
! * symmetry: C2/m

***

Record 3
! MgMnCd2 PBE relaxed; values from VASP
&SYSTEM
  ibrav = 0, nat = 4, ntyp = 3
/
ATOMIC_SPECIES
Cd 112.41 Cd.upf
Mg 24.30 Mg.upf
Mn 54.94 Mn.upf
CELL_PARAMETERS angstrom
9.837 -0.051 -0.030
9.365 3.010 -0.030
9.365 1.443 2.642
ATOMIC_POSITIONS angstrom
Cd 0.140 0.022 0.013
Cd 14.144 2.179 1.278
Mg 7.142 1.100 0.645
Mn 21.426 3.301 1.936
! * calculated total energy: -2.96 eV/atom
! * formation enthalpy at 0 K: 185 meV per atom
! * symmetry: R-3m

***

Record 4
! SrLaAg2 PBE relaxed; values from VASP
&SYSTEM
  ibrav = 0, nat = 4, ntyp = 3
/
ATOMIC_SPECIES
Sr 87.62 Sr.upf
Ag 107.87 Ag.upf
La 138.91 La.upf
CELL_PARAMETERS angstrom
-2.500 0.397 -2.926
0.330 -3.792 -0.796
-5.587 -5.325 4.052
ATOMIC_POSITIONS angstrom
Sr -5.193 -6.639 0.978
Ag 0.185 -3.829 -0.677
Ag -2.483 -4.521 1.509
La -2.564 -2.081 -0.649
! * calculated total energy: -3.35 eV/atom
! * formation enthalpy at 0 K: -272 meV per atom
! * symmetry: Pmmm